(1)
Rb2IrBr6Cl: optimized geometry, PBE.

## Properties
N(E_F) in states/eV per atom: 1.092
SG: I4/mmm (139)
Crystal system: tetragonal

Lattice parameters (Å, degrees): 7.770 7.770 7.973 60.84 60.84 90.00
Positions (direct):
Br: 0.784 0.784 0.431
Br: 0.772 0.772 0.000
Ir: 0.000 0.000 0.000
Cl: 0.500 0.500 0.000
Br: 0.216 0.216 0.569
Br: 0.228 0.772 0.000
Br: 0.228 0.228 0.000
Br: 0.772 0.228 0.000
Rb: 0.750 0.250 0.500
Rb: 0.250 0.750 0.500



(2)
Rb2IrBr5Cl: optimized geometry, PBE.

## Properties
N(E_F) in states/eV per atom: 0.907
SG: I4mm (107)
Crystal system: tetragonal

Lattice parameters (Å, degrees): 7.509 7.509 7.509 89.74 120.15 120.15
Positions (direct):
Br: 0.000 0.762 0.235
Br: 0.000 0.235 0.762
Br: 0.472 0.235 0.235
Rb: 0.500 0.749 0.249
Rb: 0.500 0.249 0.749
Br: 0.528 0.762 0.762
Ir: 0.000 0.999 0.999
Br: 0.000 0.233 0.233
Cl: 0.000 0.777 0.777



Summary of magnetization in μB/f.u.
1.5; 1.1
(order as listed above)
Summary of E_form (uncorrected) in meV per atom
-741; -979
(order as listed above)